[1]
Below is crystalline Os2IO2 at its relaxed geometry, with properties calculated at the GGA-PBE level.

Output
E_form (uncorrected)	1.24	eV/atom
total energy	-5.5472	eV/atom
E above lowest polymorph	525	meV/atom

Lattice parameters (Å, degrees): 7.5854 7.5854 2.7869 90.00 90.00 90.00
With the nearest neighbours (Å) after each atom.
Element x y z (fractional)
O (0.3915, 0.8915, 0.0000)  4 Os 2.21, 1 O 2.33
O (0.1085, 0.3915, 0.0000)  4 Os 2.21, 1 O 2.33
O (0.6085, 0.1085, 0.0000)  4 Os 2.21, 1 O 2.33
O (0.8915, 0.6085, 0.0000)  4 Os 2.21, 1 O 2.33
I (0.0000, 0.0000, 0.0000)  2 I 2.79, 4 O 3.08
I (0.5000, 0.5000, 0.0000)  2 I 2.79, 4 O 3.08
Os (0.3830, 0.1170, 0.5000)  4 O 2.21
Os (0.6170, 0.8830, 0.5000)  4 O 2.21
Os (0.8830, 0.3830, 0.5000)  4 O 2.21
Os (0.1170, 0.6170, 0.5000)  4 O 2.21

---

[2]
Below is crystalline Pm3NdHo7 at its relaxed geometry, with properties calculated at the GGA-PBE level.

Output
energy of formation from the pure elements	0.1467	eV/atom
total energy	-4.4955	eV/atom
E above lowest polymorph	0	meV/atom

Lattice parameters (Å, degrees): 5.5374 10.0169 8.8990 105.61 128.44 90.02
With the nearest neighbours (Å) after each atom.
Element x y z (fractional)
Ho (0.0823, 0.1698, 0.0824)  3 Ho 3.20-3.30, 5 Pm 3.53-3.55, 1 Nd 3.58
Ho (0.6801, 0.3603, 0.1801)  5 Ho 3.30-3.56, 2 Pm 3.52, 2 Nd 3.53
Ho (0.9177, 0.8302, 0.9176)  3 Ho 3.20-3.30, 5 Pm 3.53-3.55, 1 Nd 3.58
Ho (0.5000, 0.0000, 0.5000)  4 Pm 3.40
Ho (0.1458, 0.2886, 0.6459)  3 Ho 3.30-3.56, 2 Pm 3.35-3.36
Ho (0.3199, 0.6397, 0.8199)  5 Ho 3.30-3.56, 2 Pm 3.52, 2 Nd 3.53
Ho (0.8542, 0.7114, 0.3541)  3 Ho 3.30-3.56, 2 Pm 3.35-3.36
Pm (0.0000, 0.5000, 0.0000)  2 Nd 3.49, 10 Ho 3.52-3.83
Pm (0.7180, 0.0010, 0.2174)  1 Pm 3.02, 2 Ho 3.35-3.36
Pm (0.2820, 0.9990, 0.7826)  1 Pm 3.02, 2 Ho 3.35-3.36
Nd (0.5000, 0.5000, 0.5000)  2 Pm 3.49, 10 Ho 3.53-3.83

---

[3]
Below is crystalline Ac2Sm6Y5 at its relaxed geometry, with properties calculated at the GGA-PBE level.

Output
energy of formation from the pure elements	0.1113	eV/atom
total energy	-5.1851	eV/atom

Lattice parameters (Å, degrees): 3.7038 12.0354 20.6668 90.00 90.00 90.00
With the nearest neighbours (Å) after each atom.
Element x y z (fractional)
Sm (0.0000, 0.5607, 0.4260)  5 Sm 3.39-3.75, 6 Y 3.52-3.67
Sm (0.5000, 0.8201, 0.3798)  2 Y 3.30-3.36, 2 Sm 3.59
Sm (0.5000, 0.6799, 0.8798)  2 Y 3.30-3.36, 2 Sm 3.59
Sm (0.5000, 0.3201, 0.1202)  2 Y 3.30-3.36, 2 Sm 3.59
Sm (0.0000, 0.4393, 0.5740)  5 Sm 3.39-3.75, 6 Y 3.52-3.67
Sm (0.0000, 0.9259, 0.6382)  6 Y 3.52-3.71, 1 Ac 3.58, 4 Sm 3.59-3.70
Sm (0.5000, 0.1799, 0.6202)  2 Y 3.30-3.36, 2 Sm 3.59
Sm (0.0000, 0.0741, 0.3618)  6 Y 3.52-3.71, 1 Ac 3.58, 4 Sm 3.59-3.70
Sm (0.0000, 0.4259, 0.8618)  6 Y 3.52-3.71, 1 Ac 3.58, 4 Sm 3.59-3.70
Sm (0.0000, 0.9393, 0.9260)  5 Sm 3.39-3.75, 6 Y 3.52-3.67
Sm (0.0000, 0.0607, 0.0740)  5 Sm 3.39-3.75, 6 Y 3.52-3.67
Sm (0.0000, 0.5741, 0.1382)  6 Y 3.52-3.71, 1 Ac 3.58, 4 Sm 3.59-3.70
Ac (0.0000, 0.8357, 0.2210)  3 Sm 3.58-3.77, 6 Y 3.65-3.92, 2 Ac 3.70
Ac (0.0000, 0.1643, 0.7790)  3 Sm 3.58-3.77, 6 Y 3.65-3.92, 2 Ac 3.70
Ac (0.0000, 0.6643, 0.7210)  3 Sm 3.58-3.77, 6 Y 3.65-3.92, 2 Ac 3.70
Ac (0.0000, 0.3357, 0.2790)  3 Sm 3.58-3.77, 6 Y 3.65-3.92, 2 Ac 3.70
Y (0.5000, 0.2004, 0.9449)  7 Sm 3.66-3.90, 3 Y 3.70-3.78, 2 Ac 3.92
Y (0.5000, 0.5000, 0.0000)  6 Sm 3.30-3.52
Y (0.5000, 0.4035, 0.7174)  5 Sm 3.36-3.52, 4 Ac 3.65, 2 Y 3.70
Y (0.5000, 0.9035, 0.7826)  5 Sm 3.36-3.52, 4 Ac 3.65, 2 Y 3.70
Y (0.5000, 0.0000, 0.5000)  6 Sm 3.30-3.52
Y (0.5000, 0.0965, 0.2174)  5 Sm 3.36-3.52, 4 Ac 3.65, 2 Y 3.70
Y (0.5000, 0.5965, 0.2826)  5 Sm 3.36-3.52, 4 Ac 3.65, 2 Y 3.70
Y (0.5000, 0.7996, 0.0551)  7 Sm 3.66-3.90, 3 Y 3.70-3.78, 2 Ac 3.92
Y (0.5000, 0.2996, 0.4449)  7 Sm 3.66-3.90, 3 Y 3.70-3.78, 2 Ac 3.92
Y (0.5000, 0.7004, 0.5551)  7 Sm 3.66-3.90, 3 Y 3.70-3.78, 2 Ac 3.92

---

[4]
Below is crystalline Mn2BTeRh at its relaxed geometry, with properties calculated at the GGA-PBE level.

Output
E_form (uncorrected)	0.04	eV/atom
total energy	-7.0589	eV/atom

Lattice parameters (Å, degrees): 4.1656 4.2455 4.1656 90.00 90.00 90.00
With the nearest neighbours (Å) after each atom.
Element x y z (fractional)
Mn (0.0000, 0.0000, 0.5000)  2 B 2.08
Mn (0.5000, 0.0000, 0.0000)  2 B 2.08
Te (0.5000, 0.5000, 0.5000)  4 Rh 2.95, 8 Mn 2.97
Rh (0.0000, 0.5000, 0.0000)  2 B 2.12
B (0.0000, 0.0000, 0.0000)  4 Mn 2.08, 2 Rh 2.12

---

[5]
Below is crystalline CrAg2Ge2 at its relaxed geometry, with properties calculated at the GGA-PBE level.

Output
energy of formation from the pure elements	0.4434	eV/atom
total energy	-4.4687	eV/atom

Lattice parameters (Å, degrees): 6.4590 6.4590 4.1073 90.00 90.00 90.00
With the nearest neighbours (Å) after each atom.
Element x y z (fractional)
Ag (0.6701, 0.8299, 0.5000)  6 Ge 2.65-2.90
Ag (0.1701, 0.6701, 0.5000)  6 Ge 2.65-2.90
Ag (0.8299, 0.3299, 0.5000)  6 Ge 2.65-2.90
Ag (0.3299, 0.1701, 0.5000)  6 Ge 2.65-2.90
Ge (0.8529, 0.6471, 0.0000)  2 Cr 2.47, 2 Ag 2.65, 1 Ge 2.69
Ge (0.1471, 0.3529, 0.0000)  2 Cr 2.47, 2 Ag 2.65, 1 Ge 2.69
Ge (0.3529, 0.8529, 0.0000)  2 Cr 2.47, 2 Ag 2.65, 1 Ge 2.69
Ge (0.6471, 0.1471, 0.0000)  2 Cr 2.47, 2 Ag 2.65, 1 Ge 2.69
Cr (0.5000, 0.5000, 0.0000)  4 Ge 2.47
Cr (0.0000, 0.0000, 0.0000)  4 Ge 2.47

---

[6]
Below is crystalline Ba3Sr2Cd at its relaxed geometry, with properties calculated at the GGA-PBE level.

Output
energy of formation from the pure elements	-0.0776	eV/atom
total energy	-1.7521	eV/atom

Lattice parameters (Å, degrees): 6.1339 9.9673 10.6409 90.00 90.00 72.08
With the nearest neighbours (Å) after each atom.
Element x y z (fractional)
Ba (0.8229, 0.3543, 0.1968)  3 Cd 3.76-3.97, 1 Sr 3.96, 3 Ba 4.13-4.19
Ba (0.8228, 0.3543, 0.8032)  3 Cd 3.76-3.97, 1 Sr 3.96, 3 Ba 4.13-4.19
Ba (0.5000, 0.0000, 0.7750)  2 Cd 3.65, 2 Sr 3.89
Ba (0.5000, 0.0000, 0.2250)  2 Cd 3.65, 2 Sr 3.89
Ba (0.1772, 0.6457, 0.1968)  3 Cd 3.76-3.97, 1 Sr 3.96, 3 Ba 4.13-4.19
Ba (0.1771, 0.6457, 0.8032)  3 Cd 3.76-3.97, 1 Sr 3.96, 3 Ba 4.13-4.19
Sr (0.0000, 0.0000, 0.0000)  8 Ba 3.89-3.96, 4 Cd 4.12
Sr (0.3310, 0.3379, 0.5000)  8 Ba 4.34-4.45, 4 Sr 4.34-4.44
Sr (0.6690, 0.6621, 0.5000)  8 Ba 4.34-4.45, 4 Sr 4.34-4.44
Sr (0.0000, 0.0000, 0.5000)  8 Ba 4.24-4.66, 4 Sr 4.44
Cd (0.3548, 0.2905, 0.0000)  8 Ba 3.65-3.97
Cd (0.6452, 0.7095, 0.0000)  8 Ba 3.65-3.97

---

[7]
Below is crystalline KSr2Co at its relaxed geometry, with properties calculated at the GGA-PBE level.

Output
energy of formation from the pure elements	0.6822	eV/atom
total energy	-2.2095	eV/atom
E above lowest polymorph	328	meV/atom

Lattice parameters (Å, degrees): 9.3049 5.6363 4.8154 89.93 58.93 127.23
With the nearest neighbours (Å) after each atom.
Element x y z (fractional)
Sr (0.5000, 0.0000, 0.5000)  4 Co 3.70-3.71, 4 K 3.70-3.71, 4 Sr 3.99
Sr (0.0000, 0.0000, 0.0000)  4 K 3.70-3.71, 4 Co 3.70-3.71, 4 Sr 3.99
K (0.5000, 0.5000, 0.0000)  8 Sr 3.70-3.71, 4 Co 3.99
Co (0.0000, 0.5000, 0.5000)  8 Sr 3.70-3.71, 4 K 3.99

---

[8]
Below is crystalline La2SmCd4 at its relaxed geometry, with properties calculated at the GGA-PBE level.

Output
energy of formation from the pure elements	-0.1371	eV/atom
total energy	-2.7420	eV/atom

Lattice parameters (Å, degrees): 5.4021 5.4021 9.3967 73.30 73.30 60.00
With the nearest neighbours (Å) after each atom.
Element x y z (fractional)
La (0.7518, 0.7518, 0.7447)  8 Cd 3.28-3.39
La (0.2482, 0.2482, 0.2553)  8 Cd 3.28-3.39
Sm (0.0000, 0.0000, 0.0000)  8 Cd 3.32
Cd (0.3758, 0.3758, 0.8726)  3 Sm 3.32, 4 La 3.32-3.39
Cd (0.6242, 0.6242, 0.1274)  3 Sm 3.32, 4 La 3.32-3.39
Cd (0.1248, 0.1248, 0.6255)  4 La 3.28-3.29, 1 Sm 3.32
Cd (0.8752, 0.8752, 0.3745)  4 La 3.28-3.29, 1 Sm 3.32

---

Result set for total moment: 0.00; 0.00; 0.00; 7.01; 0.00; 0.00; 1.04; 0.00 Bohr magnetons per cell, one per record in the order listed.